Below is KPaInN3 after structural relaxation, with properties calculated at the PBE level.

abc: 3.661 9.404 6.841
angles: 105.09 90.00 90.00
Fractional positions:
K 0.250 0.318 0.370
K 0.750 0.682 0.630
N 0.250 0.849 0.443
N 0.250 0.476 0.831
N 0.750 0.783 0.039
N 0.750 0.151 0.557
N 0.750 0.524 0.169
N 0.250 0.217 0.961
In 0.750 0.948 0.316
In 0.250 0.052 0.684
Pa 0.750 0.338 0.882
Pa 0.250 0.662 0.118

## Properties
Space-group type: No. 11
Raw formation energy in eV/atom: -0.632